LiTa2W: relaxed, GGA-PBE.

Calculated values
* formation energy from the elements: 231 meV per atom

POSCAR file:
```
LiTa2W
1.0
4.494 0.000 0.000
0.000 4.494 0.000
0.000 0.000 3.254
W Ta Li
1 2 1
Direct
0.000 0.500 0.500
0.500 0.500 0.000
0.000 0.000 0.000
0.500 0.000 0.500
```